First-principles (PBE-GGA) data for an optimized crystal structure of RbH3F3, as listed in Alexandria via LeMat-Bulk.

abc: 6.4317 6.4317 6.4317
angles: 59.85 59.85 59.85
With the nearest neighbours (Å) after each atom.
Atoms (fractional coordinates):
Rb 0.2504 0.2504 0.2504  12 F 3.21-3.22, 12 H 3.39
Rb 0.7496 0.7496 0.7496  12 F 3.21-3.22, 12 H 3.39
H 0.3694 0.6304 0.6304  1 F 1.04
H 0.3696 0.3696 0.6306  1 F 1.04
H 0.3696 0.6306 0.3696  1 F 1.04
H 0.6304 0.3694 0.6304  1 F 1.04
H 0.6304 0.6304 0.3694  1 F 1.04
H 0.6306 0.3696 0.3696  1 F 1.04
F 0.2552 0.2552 0.7451  1 H 1.04
F 0.2552 0.7451 0.2552  1 H 1.04
F 0.2549 0.7448 0.7448  1 H 1.04
F 0.7451 0.2552 0.2552  1 H 1.04
F 0.7448 0.2549 0.7448  1 H 1.04
F 0.7448 0.7448 0.2549  1 H 1.04

Output
DFT total energy: -54.299 eV per cell
V: 13.4 A^3/atom

=====

First-principles (PBE-GGA) data for an optimized crystal structure of SiAg4Ir, as listed in Alexandria via LeMat-Bulk.

abc: 5.3437 5.3437 5.3437
angles: 60.00 60.00 60.00
With the nearest neighbours (Å) after each atom.
Atoms (fractional coordinates):
Si 0.0000 0.0000 0.0000  12 Ag 3.13, 4 Ir 3.27
Ag 0.1255 0.6248 0.6248  6 Ag 2.67-2.68
Ag 0.6248 0.1255 0.6248  6 Ag 2.67-2.68
Ag 0.6248 0.6248 0.1255  6 Ag 2.67-2.68
Ag 0.6248 0.6248 0.6248  6 Ag 2.67-2.68
Ir 0.2500 0.2500 0.2500  12 Ag 3.13, 4 Si 3.27

Output
DFT total energy: -21.502 eV per cell
V: 18.0 A^3/atom

=====

First-principles (PBE-GGA) data for an optimized crystal structure of Tl2ZnOs, as listed in Alexandria via LeMat-Bulk.

abc: 2.9830 2.9830 10.8130
angles: 90.00 90.00 114.60
With the nearest neighbours (Å) after each atom.
Atoms (fractional coordinates):
Tl 0.0000 0.0000 0.0000  6 Tl 2.98-3.22, 2 Zn 3.14
Tl 0.5000 0.5000 0.3356  2 Os 2.97, 6 Tl 2.98-3.22
Zn 0.5000 0.5000 0.7504  2 Os 2.56
Os 0.0000 0.0000 0.5666  2 Zn 2.56

Output
Distance to the lowest polymorph of the same formula: 0.120 eV/atom
V: 21.9 A^3/atom
ΔH_f (0 K): 0.652 eV per atom

=====

First-principles (PBE-GGA) data for an optimized crystal structure of Pr12Er7Tl, as listed in Alexandria via LeMat-Bulk.

abc: 9.3694 9.3694 9.3694
angles: 107.37 107.37 107.37
With the nearest neighbours (Å) after each atom.
Atoms (fractional coordinates):
Pr 0.0632 0.3970 0.2915  4 Er 3.36-3.64, 3 Pr 3.47-3.72, 1 Tl 3.65
Pr 0.2179 0.3801 0.6776  4 Er 3.34-3.67, 3 Pr 3.47-3.72
Pr 0.2915 0.0632 0.3970  4 Er 3.36-3.64, 3 Pr 3.47-3.72, 1 Tl 3.65
Pr 0.3224 0.7821 0.6199  4 Er 3.34-3.67, 3 Pr 3.47-3.72
Pr 0.3801 0.6776 0.2179  4 Er 3.34-3.67, 3 Pr 3.47-3.72
Pr 0.3970 0.2915 0.0632  4 Er 3.36-3.64, 3 Pr 3.47-3.72, 1 Tl 3.65
Pr 0.6030 0.7085 0.9368  4 Er 3.36-3.64, 3 Pr 3.47-3.72, 1 Tl 3.65
Pr 0.6199 0.3224 0.7821  4 Er 3.34-3.67, 3 Pr 3.47-3.72
Pr 0.6776 0.2179 0.3801  4 Er 3.34-3.67, 3 Pr 3.47-3.72
Pr 0.7085 0.9368 0.6030  4 Er 3.36-3.64, 3 Pr 3.47-3.72, 1 Tl 3.65
Pr 0.7821 0.6199 0.3224  4 Er 3.34-3.67, 3 Pr 3.47-3.72
Pr 0.9368 0.6030 0.7085  4 Er 3.36-3.64, 3 Pr 3.47-3.72, 1 Tl 3.65
Er 0.0054 0.3121 0.8982  1 Tl 3.33, 6 Pr 3.34-3.67, 3 Er 3.52-3.57
Er 0.1018 0.9946 0.6879  1 Tl 3.33, 6 Pr 3.34-3.67, 3 Er 3.52-3.57
Er 0.3121 0.8982 0.0054  1 Tl 3.33, 6 Pr 3.34-3.67, 3 Er 3.52-3.57
Er 0.5000 0.5000 0.5000  12 Pr 3.60-3.64
Er 0.6879 0.1018 0.9946  1 Tl 3.33, 6 Pr 3.34-3.67, 3 Er 3.52-3.57
Er 0.8982 0.0054 0.3121  1 Tl 3.33, 6 Pr 3.34-3.67, 3 Er 3.52-3.57
Er 0.9946 0.6879 0.1018  1 Tl 3.33, 6 Pr 3.34-3.67, 3 Er 3.52-3.57
Tl 0.0000 0.0000 0.0000  6 Er 3.33, 6 Pr 3.65

Output
V: 33.9 A^3/atom
ΔH_f (0 K): 0.094 eV per atom

=====

First-principles (PBE-GGA) data for an optimized crystal structure of Be2ZnRu, as listed in Alexandria via LeMat-Bulk.

abc: 4.6687 4.6687 4.6687
angles: 138.73 138.73 59.78
With the nearest neighbours (Å) after each atom.
Atoms (fractional coordinates):
Be 0.0000 0.0000 0.0000  4 Zn 2.33
Be 0.7500 0.2500 0.5000  4 Ru 2.33
Zn 0.5000 0.5000 0.0000  4 Be 2.33
Ru 0.2500 0.7500 0.5000  4 Be 2.33

Output
V: 11.0 A^3/atom
ΔH_f (0 K): -0.185 eV per atom

=====

First-principles (PBE-GGA) data for an optimized crystal structure of MnFe2P2, as listed in Alexandria via LeMat-Bulk.

abc: 6.4334 6.4334 2.5709
angles: 90.00 90.00 90.00
With the nearest neighbours (Å) after each atom.
Atoms (fractional coordinates):
Mn 0.0000 0.0000 0.0000  4 P 2.43, 2 Mn 2.57
Mn 0.5000 0.5000 0.0000  4 P 2.43, 2 Mn 2.57
Fe 0.1438 0.3562 0.5000  6 P 2.22-2.32
Fe 0.3562 0.8562 0.5000  6 P 2.22-2.32
Fe 0.6438 0.1438 0.5000  6 P 2.22-2.32
Fe 0.8562 0.6438 0.5000  6 P 2.22-2.32
P 0.1566 0.6566 0.0000  6 Fe 2.22-2.32, 2 Mn 2.43
P 0.3434 0.1566 0.0000  6 Fe 2.22-2.32, 2 Mn 2.43
P 0.6566 0.8434 0.0000  6 Fe 2.22-2.32, 2 Mn 2.43
P 0.8434 0.3434 0.0000  6 Fe 2.22-2.32, 2 Mn 2.43

Output
V: 10.6 A^3/atom
ΔH_f (0 K): -0.256 eV per atom

=====

First-principles (PBE-GGA) data for an optimized crystal structure of YBe2Ag, as listed in Alexandria via LeMat-Bulk.

abc: 4.6961 4.6961 4.6961
angles: 129.23 116.80 85.22
With the nearest neighbours (Å) after each atom.
Atoms (fractional coordinates):
Y 0.0000 0.0000 0.0000  5 Be 2.80-3.01, 4 Ag 2.82-2.90
Be 0.5644 0.5644 0.0000  2 Be 2.20
Be 0.6919 0.1919 0.5000  2 Be 2.20
Ag 0.3010 0.8010 0.5000  5 Be 2.70-2.95, 4 Y 2.82-2.90

Output
Distance to the lowest polymorph of the same formula: 0.169 eV/atom
V: 17.1 A^3/atom
ΔH_f (0 K): 0.158 eV per atom

=====

First-principles (PBE-GGA) data for an optimized crystal structure of Y2Ni3As4Ir, as listed in Alexandria via LeMat-Bulk.

abc: 4.1821 4.1821 9.5890
angles: 90.00 90.00 90.00
With the nearest neighbours (Å) after each atom.
Atoms (fractional coordinates):
Y 0.0000 0.5000 0.2474  8 As 3.15-3.16, 7 Ni 3.20-3.52, 2 Ir 3.20
Y 0.5000 0.0000 0.7526  8 As 3.15-3.16, 7 Ni 3.20-3.52, 2 Ir 3.20
Ni 0.0000 0.5000 0.8806  5 As 2.32-2.38
Ni 0.5000 0.0000 0.1194  5 As 2.32-2.38
Ni 0.5000 0.5000 0.5000  4 As 2.48
As 0.0000 0.0000 0.0000  4 Ni 2.38
As 0.0000 0.5000 0.6392  3 Ni 2.32-2.48, 2 Ir 2.48
As 0.5000 0.0000 0.3608  3 Ni 2.32-2.48, 2 Ir 2.48
As 0.5000 0.5000 0.0000  4 Ni 2.38
Ir 0.0000 0.0000 0.5000  4 As 2.48

Output
V: 16.8 A^3/atom
ΔH_f (0 K): -0.754 eV per atom

=====

Q: Look up the V of the seventh one.
A: 17.1 A^3/atom